# 1
# Pr3MnS6

Crystalline Pr3MnS6 at its relaxed geometry (GGA-PBE, Alexandria).

Lattice parameters (Å, degrees): 6.754 8.779 8.779 102.14 90.00 90.00
Site moments in Bohr magnetons follow the coordinates.
Element x y z (fractional)
1 S 0.682 0.218 0.782  -0.03
2 S 0.667 0.959 0.041  0.00
3 S 0.191 0.686 0.637  0.00
4 Mn 0.021 0.196 0.804  3.52
5 Pr 0.480 0.917 0.716  0.04
6 Mn 0.521 0.804 0.196  3.52
7 S 0.186 0.422 0.901  -0.01
8 S 0.191 0.363 0.314  0.00
9 S 0.691 0.314 0.363  0.00
10 S 0.691 0.637 0.686  0.00
11 Pr 0.980 0.716 0.917  0.04
12 S 0.686 0.578 0.099  -0.01
13 Pr 0.480 0.284 0.083  0.04
14 S 0.186 0.099 0.578  -0.01
15 Pr 0.400 0.397 0.603  0.02
16 Pr 0.980 0.083 0.284  0.04
17 S 0.182 0.782 0.218  -0.03
18 S 0.167 0.041 0.959  0.00
19 Pr 0.900 0.603 0.397  0.02
20 S 0.686 0.901 0.422  -0.01

E_form (uncorrected) ... -1.630 eV/atom
Theoretical density ... 4.4 g cm⁻³
Space group ... Cmc2_1, No. 36
Final energy ... -129.1 eV per cell
Total magnetization ... 0.400 μB/atom



# 2
# Sm2ZnNi4Sn3

Crystalline Sm2ZnNi4Sn3 at its relaxed geometry (GGA-PBE, Alexandria).

Lattice parameters (Å, degrees): 4.350 4.350 10.141 90.00 90.00 90.00
Element x y z (fractional)
1 Zn 0.500 0.500 0.500
2 Ni 0.500 0.500 0.000
3 Sn 0.500 0.000 0.870
4 Sn 0.000 0.500 0.130
5 Sm 0.000 0.500 0.752
6 Sm 0.500 0.000 0.248
7 Ni 0.000 0.000 0.000
8 Ni 0.500 0.000 0.625
9 Ni 0.000 0.500 0.375
10 Sn 0.000 0.000 0.500

Energy relative to the elements ... -0.4813 eV/atom
Theoretical density ... 8.3 g cm⁻³
Space group ... P-4m2, No. 115
Final energy ... -50.7 eV per cell
Total magnetization ... 0.000 μB/atom



# 3
# NdHgGe4

Crystalline NdHgGe4 at its relaxed geometry (GGA-PBE, Alexandria).

Lattice parameters (Å, degrees): 5.682 5.682 5.682 60.00 60.00 60.00
Element x y z (fractional)
1 Ge 0.624 0.624 0.128
2 Nd 0.250 0.250 0.250
3 Ge 0.624 0.624 0.624
4 Hg 0.000 0.000 0.000
5 Ge 0.128 0.624 0.624
6 Ge 0.624 0.128 0.624

Energy relative to the elements ... -0.1975 eV/atom
Theoretical density ... 8.1 g cm⁻³
Space group ... F-43m, No. 216
Final energy ... -24.7 eV per cell
Total magnetization ... 0.000 μB/atom



# 4
# LiAlTl3

Crystalline LiAlTl3 at its relaxed geometry (GGA-PBE, Alexandria).

Lattice parameters (Å, degrees): 5.151 5.151 5.151 90.00 90.00 90.00
Element x y z (fractional)
1 Tl 0.000 0.500 0.000
2 Al 0.500 0.500 0.500
3 Li 0.000 0.000 0.000
4 Tl 0.500 0.000 0.000
5 Tl 0.000 0.000 0.500

Energy relative to the elements ... 0.2880 eV/atom
Theoretical density ... 7.9 g cm⁻³
Space group ... Pm-3m, No. 221
Final energy ... -11.3 eV per cell
Total magnetization ... 0.000 μB/atom



# 5
# GaIrS2Cl

Crystalline GaIrS2Cl at its relaxed geometry (GGA-PBE, Alexandria).

Lattice parameters (Å, degrees): 4.694 4.694 4.533 90.00 90.00 90.00
Site moments in Bohr magnetons follow the coordinates.
Element x y z (fractional)
1 Cl 0.000 0.000 0.500  0.11
2 Ir 0.500 0.500 0.500  1.52
3 S 0.000 0.500 0.000  0.05
4 S 0.500 0.000 0.000  0.05
5 Ga 0.000 0.000 0.000  0.00

E_form (uncorrected) ... 0.945 eV/atom
Theoretical density ... 6.0 g cm⁻³
Space group ... P4/mmm, No. 123
Final energy ... -17.3 eV per cell
Total magnetization ... 0.375 μB/atom



# 6
# YInRh2

Crystalline YInRh2 at its relaxed geometry (GGA-PBE, Alexandria).

Lattice parameters (Å, degrees): 3.249 4.202 5.608 90.00 90.00 90.00
Element x y z (fractional)
1 In 0.500 0.500 0.796
2 Rh 0.000 0.000 0.965
3 Y 0.000 0.000 0.460
4 Rh 0.500 0.500 0.278

Energy relative to the elements ... -0.4768 eV/atom
Theoretical density ... 8.9 g cm⁻³
Space group ... Pmm2, No. 25
Final energy ... -25.8 eV per cell
Total magnetization ... 0.000 μB/atom